Sr2NiPSe: single point on PBEsol structure, SCAN.

ΔE_f (raw) = -0.031 eV per atom
N(E_F) = 2.4 states/eV/f.u.
Mass density = 3.74 g/cm3

a b c (Å): 5.714 5.714 4.679
angles (deg): 90.00 90.00 90.00
Sites, in units of the cell vectors:
Sr 0.000 0.500 0.000
Sr 0.500 0.000 0.000
Ni 0.000 0.000 0.500
P 0.500 0.500 0.500
Se 0.500 0.500 0.000